SbRu2Rh: optimized geometry, PBEsol.

Cell and atoms, written as CIF:
```
data_SbRu2Rh
_chemical_formula_sum 'Sb1 Ru2 Rh1'
_space_group_name_H-M_alt 'P 1'
_space_group_IT_number 1
_space_group_name_Hall 'P 1'
_cell_length_a 2.8611
_cell_length_b 4.0427
_cell_length_c 5.3835
_cell_angle_alpha 90.00
_cell_angle_beta 101.86
_cell_angle_gamma 90.00
loop_
_atom_site_label
_atom_site_type_symbol
_atom_site_fract_x
_atom_site_fract_y
_atom_site_fract_z
Sb1 Sb 0.0000 0.0000 0.0000
Ru1 Ru 0.3935 0.5000 0.2608
Ru2 Ru 0.6065 0.5000 0.7392
Rh1 Rh 0.0000 0.0000 0.5000
```

SbRuRh2: optimized geometry, PBEsol.

Cell and atoms, written as CIF:
```
data_SbRuRh2
_chemical_formula_sum 'Sb3 Ru3 Rh6'
_space_group_name_H-M_alt 'P 1'
_space_group_IT_number 1
_space_group_name_Hall 'P 1'
_cell_length_a 2.8979
_cell_length_b 2.8979
_cell_length_c 25.3731
_cell_angle_alpha 90.00
_cell_angle_beta 90.00
_cell_angle_gamma 120.00
loop_
_atom_site_label
_atom_site_type_symbol
_atom_site_fract_x
_atom_site_fract_y
_atom_site_fract_z
Sb1 Sb 0.0000 0.0000 0.0000
Sb2 Sb 0.3333 0.6667 0.6667
Sb3 Sb 0.6667 0.3333 0.3333
Ru1 Ru 0.0000 0.0000 0.5000
Ru2 Ru 0.3333 0.6667 0.1667
Ru3 Ru 0.6667 0.3333 0.8333
Rh1 Rh 0.0000 0.0000 0.2490
Rh2 Rh 0.0000 0.0000 0.7510
Rh3 Rh 0.3333 0.6667 0.4177
Rh4 Rh 0.3333 0.6667 0.9157
Rh5 Rh 0.6667 0.3333 0.0843
Rh6 Rh 0.6667 0.3333 0.5823
```

SbRuRh2: optimized geometry, PBEsol.

Cell and atoms, written as CIF:
```
data_SbRuRh2
_chemical_formula_sum 'Sb1 Ru1 Rh2'
_space_group_name_H-M_alt 'P 1'
_space_group_IT_number 1
_space_group_name_Hall 'P 1'
_cell_length_a 2.9249
_cell_length_b 2.9249
_cell_length_c 7.0913
_cell_angle_alpha 90.00
_cell_angle_beta 90.00
_cell_angle_gamma 90.00
loop_
_atom_site_label
_atom_site_type_symbol
_atom_site_fract_x
_atom_site_fract_y
_atom_site_fract_z
Sb1 Sb 0.0000 0.0000 0.0000
Ru1 Ru 0.5000 0.5000 0.7382
Rh1 Rh 0.0000 0.0000 0.5068
Rh2 Rh 0.5000 0.5000 0.2482
```

SbRuRh2: optimized geometry, PBEsol.

Cell and atoms, written as CIF:
```
data_SbRuRh2
_chemical_formula_sum 'Sb2 Ru2 Rh4'
_space_group_name_H-M_alt 'P 1'
_space_group_IT_number 1
_space_group_name_Hall 'P 1'
_cell_length_a 5.4344
_cell_length_b 7.6509
_cell_length_c 2.8756
_cell_angle_alpha 90.00
_cell_angle_beta 90.00
_cell_angle_gamma 90.00
loop_
_atom_site_label
_atom_site_type_symbol
_atom_site_fract_x
_atom_site_fract_y
_atom_site_fract_z
Sb1 Sb 0.0000 0.0000 0.0000
Sb2 Sb 0.5000 0.5000 0.0000
Ru1 Ru 0.0000 0.5000 0.0000
Ru2 Ru 0.5000 0.0000 0.0000
Rh1 Rh 0.2500 0.2500 0.5000
Rh2 Rh 0.2500 0.7500 0.5000
Rh3 Rh 0.7500 0.2500 0.5000
Rh4 Rh 0.7500 0.7500 0.5000
```

Number 1: VASP energy -8.043 eV per atom, uncorrected formation energy 0.87 eV per formula unit. Number 2: VASP energy -7.487 eV per atom, uncorrected formation energy 1.06 eV per formula unit. Number 3: VASP energy -7.561 eV per atom, uncorrected formation energy 0.76 eV per formula unit. Number 4: VASP energy -7.727 eV per atom, uncorrected formation energy 0.10 eV per formula unit.